A relaxed Li7Mn2Co3O12 crystal. Source: the Alexandria database, functional GGA+U.

Cell lengths 2.885, 7.750, 9.789 Å; angles 99.46, 90.00, 100.72 degrees
Atoms (fractional coordinates):
Li (0.000, 0.000, 0.000)
Li (0.084, 0.167, 0.767)
Li (0.252, 0.504, 0.241)
Li (0.425, 0.849, 0.772)
Li (0.573, 0.144, 0.234)
Li (0.756, 0.511, 0.762)
Li (0.909, 0.819, 0.247)
Mn (0.170, 0.337, 0.505)
Mn (0.663, 0.326, 0.000)
Co (0.346, 0.693, 0.010)
Co (0.498, 0.993, 0.501)
Co (0.833, 0.663, 0.501)
O (0.050, 0.097, 0.398)
O (0.130, 0.259, 0.115)
O (0.206, 0.412, 0.892)
O (0.291, 0.578, 0.609)
O (0.368, 0.733, 0.391)
O (0.450, 0.900, 0.131)
O (0.552, 0.104, 0.885)
O (0.636, 0.267, 0.617)
O (0.711, 0.417, 0.396)
O (0.785, 0.570, 0.111)
O (0.872, 0.743, 0.884)
O (0.951, 0.899, 0.606)

Results
energy relative to the lowest polymorph listed for this composition = 36.9 meV/atom
DOS(E_F) = 3.76 states/eV/f.u.
magnetization = 6.1 μB/f.u.